(1)
Entry from the Alexandria database: LaPrGa after structural relaxation (PBE-GGA).

Cell: 3.927 3.927 11.432 Å, 90.00 90.00 90.00°
Space group I4mm (No. 107)
Symmetry-distinct sites (fractional):
1 La 0.000 0.000 0.000 x2
2 Pr 0.000 0.000 0.289 x2
3 Ga 0.000 0.000 0.649 x2

Summary:
Energy relative to the elements   -330 meV/atom
Uncorrected energy   -4.574 eV/atom


(2)
Entry from the Alexandria database: LaPrGa after structural relaxation (PBE-GGA).

Cell: 7.321 7.321 7.321 Å, 90.00 90.00 90.00°
Space group F-43m (No. 216)
Symmetry-distinct sites (fractional):
1 La 0.000 0.000 0.000 x4
2 Pr 0.000 0.000 0.500 x4
3 Ga 0.250 0.250 0.250 x4

Summary:
Energy relative to the elements   -264 meV/atom
Uncorrected energy   -4.509 eV/atom


uncorrected energy of number 1 (LaPrGa)?
-4.574 eV/atom